BeB2CCl PBE optimized geometry; DFT total energy = -4.659 eV per atom
1.0
3.007 0.000 0.000
0.000 3.007 0.000
0.000 0.000 6.342
Be B C Cl
1 2 1 1
direct
0.000 0.000 0.000 Be
0.000 0.500 0.500 B
0.500 0.000 0.500 B
0.500 0.500 0.500 C
0.500 0.500 0.000 Cl



Pm2ReTcN5 PBE optimized geometry; DFT total energy = -8.863 eV per atom
1.0
1.710 -7.046 0.000
1.710 7.046 0.000
0.000 0.000 9.761
Pm Re Tc N
4 2 2 10
direct
0.129 0.871 0.500 Pm
0.133 0.867 0.130 Pm
0.867 0.133 0.630 Pm
0.871 0.129 0.000 Pm
0.430 0.570 0.283 Re
0.570 0.430 0.783 Re
0.205 0.795 0.834 Tc
0.795 0.205 0.334 Tc
0.044 0.956 0.882 N
0.301 0.699 0.463 N
0.306 0.694 0.187 N
0.346 0.654 0.824 N
0.494 0.506 0.123 N
0.506 0.494 0.623 N
0.654 0.346 0.324 N
0.694 0.306 0.687 N
0.699 0.301 0.963 N
0.956 0.044 0.382 N



Mg2NpInO8 PBE optimized geometry; DFT total energy = -6.879 eV per atom
1.0
4.376 0.000 0.000
0.000 6.600 0.000
-0.184 0.000 5.046
Mg Np In O
2 1 1 8
direct
0.000 0.239 0.000 Mg
0.000 0.761 0.000 Mg
0.500 0.000 0.500 Np
0.500 0.500 0.500 In
0.248 0.240 0.344 O
0.248 0.760 0.344 O
0.249 0.000 0.819 O
0.347 0.500 0.921 O
0.653 0.500 0.079 O
0.751 0.000 0.181 O
0.752 0.240 0.656 O
0.752 0.760 0.656 O



SiSe2NCl PBE optimized geometry; relative energy among the computed polymorphs = 0.0 kJ/mol of atoms
1.0
5.331 0.000 0.000
0.000 5.331 0.000
0.000 0.000 3.234
Si Se N Cl
1 2 1 1
direct
0.000 0.000 0.000 Si
0.000 0.500 0.000 Se
0.500 0.000 0.000 Se
0.000 0.000 0.500 N
0.500 0.500 0.500 Cl



Cs5Na3Hg3 PBE optimized geometry; ΔE_f = -0.08 eV/atom
1.0
11.940 0.000 0.000
-5.970 10.340 0.000
0.000 0.000 5.864
Cs Na Hg
5 3 3
direct
0.000 0.754 0.000 Cs
0.246 0.246 0.000 Cs
0.333 0.667 0.000 Cs
0.667 0.333 0.000 Cs
0.754 0.000 0.000 Cs
0.000 0.441 0.500 Na
0.441 0.000 0.500 Na
0.559 0.559 0.500 Na
0.000 0.367 0.000 Hg
0.367 0.000 0.000 Hg
0.633 0.633 0.000 Hg



V2CuTeI PBE optimized geometry; DFT total energy = -4.380 eV per atom
1.0
5.094 0.000 0.000
0.000 5.094 0.000
0.000 0.000 4.754
V Cu Te I
2 1 1 1
direct
0.000 0.500 0.000 V
0.500 0.000 0.000 V
0.000 0.000 0.000 Cu
0.500 0.500 0.500 Te
0.000 0.000 0.500 I



BeWN2 PBE optimized geometry; DFT total energy = -7.873 eV per atom
1.0
1.464 0.845 5.526
-1.464 0.845 5.526
0.000 -1.690 5.526
Be W N
1 1 2
direct
0.000 0.000 0.000 Be
0.500 0.500 0.500 W
0.386 0.386 0.386 N
0.614 0.614 0.614 N



Np3Ni4P4 PBE optimized geometry; ΔE_f = -0.72 eV/atom
1.0
-1.924 1.936 11.509
1.924 -1.936 11.509
1.924 1.936 -11.509
Np Ni P
3 4 4
direct
0.000 0.000 0.000 Np
0.147 0.647 0.500 Np
0.853 0.353 0.500 Np
0.250 0.250 0.000 Ni
0.403 0.903 0.500 Ni
0.597 0.097 0.500 Ni
0.750 0.750 0.000 Ni
0.306 0.806 0.500 P
0.449 0.449 0.000 P
0.551 0.551 0.000 P
0.694 0.194 0.500 P



LaZnPd2Cl PBE optimized geometry; DFT total energy = -3.946 eV per atom
1.0
4.636 0.000 0.000
0.000 4.636 0.000
0.000 0.000 5.830
La Zn Pd Cl
1 1 2 1
direct
0.000 0.000 0.000 La
0.000 0.000 0.500 Zn
0.000 0.500 0.500 Pd
0.500 0.000 0.500 Pd
0.500 0.500 0.000 Cl



MgTeOs2 PBE optimized geometry; relative energy among the computed polymorphs = 17.1 kJ/mol of atoms
1.0
0.000 3.178 3.178
3.178 0.000 3.178
3.178 3.178 0.000
Mg Te Os
1 1 2
direct
0.000 0.000 0.000 Mg
0.500 0.500 0.500 Te
0.250 0.250 0.250 Os
0.750 0.750 0.750 Os



Y2Zn7Au PBE optimized geometry; ΔE_f = -0.36 eV/atom
1.0
4.124 0.000 0.000
0.000 4.124 0.000
0.000 0.000 10.920
Y Zn Au
2 7 1
direct
0.000 0.500 0.244 Y
0.500 0.000 0.756 Y
0.000 0.000 0.000 Zn
0.000 0.500 0.645 Zn
0.000 0.500 0.867 Zn
0.500 0.000 0.133 Zn
0.500 0.000 0.355 Zn
0.500 0.500 0.000 Zn
0.500 0.500 0.500 Zn
0.000 0.000 0.500 Au



Er2Hg3Pd4 PBE optimized geometry; ΔE_f = -0.61 eV/atom; relative energy among the computed polymorphs = 0.0 kJ/mol of atoms
1.0
4.523 -2.193 0.000
4.523 2.193 0.000
-1.927 0.000 8.785
Er Hg Pd
2 3 4
direct
0.171 0.171 0.217 Er
0.829 0.829 0.783 Er
0.161 0.161 0.568 Hg
0.500 0.500 0.000 Hg
0.839 0.839 0.432 Hg
0.165 0.165 0.894 Pd
0.492 0.492 0.671 Pd
0.508 0.508 0.329 Pd
0.835 0.835 0.106 Pd



Tl2InRe PBE optimized geometry; ΔE_f = 1.02 eV/atom; relative energy among the computed polymorphs = 44.0 kJ/mol of atoms
1.0
-2.148 2.148 10.402
2.148 -2.148 10.402
2.148 2.148 -10.402
Tl In Re
4 2 2
direct
0.108 0.625 0.983 Tl
0.375 0.358 0.483 Tl
0.642 0.125 0.017 Tl
0.875 0.892 0.517 Tl
0.250 0.750 0.500 In
0.500 0.500 0.000 In
0.000 0.000 0.000 Re
0.750 0.250 0.500 Re



NbV4Cu PBE optimized geometry; ΔE_f = 0.20 eV/atom
1.0
0.000 3.514 3.514
3.514 0.000 3.514
3.514 3.514 0.000
Nb V Cu
1 4 1
direct
0.000 0.000 0.000 Nb
0.373 0.373 0.373 V
0.373 0.373 0.881 V
0.373 0.881 0.373 V
0.881 0.373 0.373 V
0.750 0.750 0.750 Cu



MgIrAu PBE optimized geometry; ΔE_f = -0.15 eV/atom; relative energy among the computed polymorphs = 0.0 kJ/mol of atoms
1.0
4.415 -2.178 0.000
4.415 2.178 0.000
-0.231 0.000 5.610
Mg Ir Au
2 2 2
direct
0.044 0.044 0.249 Mg
0.956 0.956 0.751 Mg
0.249 0.249 0.897 Ir
0.751 0.751 0.103 Ir
0.347 0.347 0.416 Au
0.653 0.653 0.584 Au



TlMoS3 PBE optimized geometry; relative energy among the computed polymorphs = 160.3 kJ/mol of atoms
1.0
5.057 0.000 0.000
0.000 5.057 0.000
0.000 0.000 5.057
Tl Mo S
1 1 3
direct
0.000 0.000 0.000 Tl
0.500 0.500 0.500 Mo
0.000 0.000 0.500 S
0.000 0.500 0.000 S
0.500 0.000 0.000 S



NpTeAs PBE optimized geometry; DFT total energy = -7.550 eV per atom
1.0
4.115 0.000 0.000
0.000 4.115 0.000
0.000 0.000 8.890
Np Te As
2 2 2
direct
0.250 0.250 0.250 Np
0.750 0.750 0.750 Np
0.250 0.250 0.630 Te
0.750 0.750 0.370 Te
0.250 0.750 0.000 As
0.750 0.250 0.000 As



LaMgCd2Ni PBE optimized geometry; ΔE_f = -0.12 eV/atom
1.0
5.012 0.000 0.000
0.000 5.012 0.000
0.000 0.000 4.798
La Mg Cd Ni
1 1 2 1
direct
0.000 0.000 0.000 La
0.500 0.500 0.000 Mg
0.000 0.500 0.500 Cd
0.500 0.000 0.500 Cd
0.500 0.500 0.500 Ni



GaReAs2Rh PBE optimized geometry; ΔE_f = 1.12 eV/atom
1.0
4.797 0.000 0.000
0.000 4.797 0.000
0.000 0.000 4.604
Ga Re As Rh
1 1 2 1
direct
0.000 0.000 0.000 Ga
0.500 0.500 0.000 Re
0.000 0.500 0.500 As
0.500 0.000 0.500 As
0.000 0.000 0.500 Rh



AcNdTe2O PBE optimized geometry; DFT total energy = -6.166 eV per atom
1.0
4.402 0.000 0.000
0.000 4.402 0.000
0.000 0.000 16.209
Ac Nd Te O
2 2 4 2
direct
0.250 0.250 0.075 Ac
0.750 0.750 0.925 Ac
0.250 0.250 0.627 Nd
0.750 0.750 0.373 Nd
0.250 0.250 0.413 Te
0.250 0.250 0.808 Te
0.750 0.750 0.192 Te
0.750 0.750 0.587 Te
0.250 0.750 0.000 O
0.750 0.250 0.000 O



It is found that the total magnetic moment values, taken in the order of the records, are 0.000; 0.000; 0.000; 0.000; 0.000; 1.229; 0.000; 0.998; 0.000; 0.000; 0.000; 0.000; 0.438; 0.000; 0.000; 0.596; 1.219; 0.000; 0.590; 0.000 μB/atom.